# PBE CoNi3, optimized geometry
data_CoNi3
_chemical_formula_sum 'Co3 Ni9'
_space_group_name_H-M_alt 'R -3 m'
_space_group_IT_number 166
_space_group_name_Hall '-R 3 2"'
_cell_length_a 7.9395
_cell_length_b 7.9395
_cell_length_c 2.4276
_cell_angle_alpha 90.00
_cell_angle_beta 90.00
_cell_angle_gamma 120.00
loop_
_atom_site_label
_atom_site_type_symbol
_atom_site_fract_x
_atom_site_fract_y
_atom_site_fract_z
Co1 Co 0.0000 0.0000 0.0000
Ni1 Ni 0.0000 0.5000 0.0000
# * ΔH_f (0 K): 0.116 eV/atom
# * E_tot: -71.96 eV/cell